Record 1
A geometry-optimized Sr2LiZn4Ge3 structure. Source: Alexandria via LeMat-Bulk, functional PBE-GGA.

Results
ρ ... 5.34 g/cm3
DFT total energy ... -2.7956 eV per atom
Formation enthalpy at 0 K ... -3.731 eV/f.u.

Cell lengths 4.317, 4.317, 11.044 Å; angles 90.00, 90.00, 90.00 degrees
Sites, in units of the cell vectors:
Zn 0.000 0.000 0.000
Zn 0.500 0.500 0.000
Zn 0.500 0.000 0.632
Zn 0.000 0.500 0.368
Sr 0.500 0.000 0.244
Sr 0.000 0.500 0.756
Ge 0.000 0.000 0.500
Ge 0.500 0.000 0.863
Ge 0.000 0.500 0.137
Li 0.500 0.500 0.500



Record 2
A geometry-optimized Sr2Li3ZnGe4 structure. Source: Alexandria via LeMat-Bulk, functional PBE-GGA.

Results
ρ ... 4.43 g/cm3
DFT total energy ... -3.2754 eV per atom
Formation enthalpy at 0 K ... -3.905 eV/f.u.

Cell lengths 4.341, 4.341, 10.976 Å; angles 90.00, 90.00, 90.00 degrees
Sites, in units of the cell vectors:
Sr 0.500 0.000 0.253
Sr 0.000 0.500 0.747
Ge 0.500 0.000 0.629
Ge 0.500 0.500 0.000
Ge 0.000 0.000 0.000
Ge 0.000 0.500 0.371
Li 0.000 0.000 0.500
Li 0.500 0.000 0.865
Li 0.000 0.500 0.135
Zn 0.500 0.500 0.500



Record 3
A geometry-optimized Li2TaGe2 structure. Source: Alexandria via LeMat-Bulk, functional PBE-GGA.

Results
Energy relative to the lowest polymorph listed for this composition ... 294 meV per atom
ρ ... 7.66 g/cm3
DFT total energy ... -4.7961 eV per atom
Formation enthalpy at 0 K ... 0.934 eV/f.u.

Cell lengths 4.271, 4.271, 5.046 Å; angles 64.96, 64.96, 90.00 degrees
Sites, in units of the cell vectors:
Li 0.624 0.624 0.751
Li 0.376 0.376 0.249
Ge 0.750 0.250 0.500
Ge 0.250 0.750 0.500
Ta 0.000 0.000 0.000